1.
## LaPr2Sm2Tm (PBE)

Data for an optimized crystal structure of LaPr2Sm2Tm.

## Properties
Formation energy (eV/f.u.): 0.355
M_tot (μB per formula unit): 0.0
Electronic total energy (eV/f.u.): -28.04
Space group: No. 51

abc: 5.7785 7.1331 10.0092
angles: 90.00 90.00 90.00
Atoms (fractional coordinates):
Sm (0.0000, 0.7574, 0.1622)
Pr (0.0000, 0.7574, 0.8212)
Tm (0.0000, 0.0078, 0.5000)
La (0.5000, 0.2577, 0.6546)
La (0.5000, 0.7577, 0.3454)
Tm (0.0000, 0.5078, 0.5000)
Pr (0.0000, 0.2574, 0.1788)
Pr (0.5000, 0.0074, 0.0001)
Sm (0.0000, 0.2574, 0.8378)
Pr (0.5000, 0.5074, 0.9999)
Sm (0.5000, 0.7579, 0.6714)
Sm (0.5000, 0.2579, 0.3286)

***

2.
## Eu2InHg (PBE)

Data for an optimized crystal structure of Eu2InHg.

## Properties
Formation energy (eV/f.u.): -1.268
M_tot (μB per formula unit): 15.0
Electronic total energy (eV/f.u.): -24.86
Space group: No. 166
Polymorph energy (0 for the lowest one) (meV/atom): 192

abc: 3.9036 3.9036 10.2192
angles: 78.99 78.99 60.00
Atoms (fractional coordinates):
Eu (0.7479, 0.7479, 0.7562)
Eu (0.2521, 0.2521, 0.2438)
Hg (0.0000, 0.0000, 0.0000)
In (0.5000, 0.5000, 0.5000)

***

3.
## NdSmCdRu (PBE)

Data for an optimized crystal structure of NdSmCdRu.

## Properties
Formation energy (eV/f.u.): -1.082
M_tot (μB per formula unit): 0.0
Electronic total energy (eV/f.u.): -20.76
Space group: No. 99
Polymorph energy (0 for the lowest one) (meV/atom): 0

abc: 3.5518 3.5518 7.8942
angles: 90.00 90.00 90.00
Atoms (fractional coordinates):
Ru (0.0000, 0.0000, 0.5667)
Cd (0.0000, 0.0000, 0.0759)
Sm (0.5000, 0.5000, 0.3550)
Nd (0.5000, 0.5000, 0.7870)

***

4.
## Ce4HgGe2 (PBE)

Data for an optimized crystal structure of Ce4HgGe2.

## Properties
Formation energy (eV/f.u.): -2.612
M_tot (μB per formula unit): 4.1
Electronic total energy (eV/f.u.): -35.88
Space group: No. 166

abc: 4.3016 4.3016 12.5391
angles: 80.12 80.12 60.00
Atoms (fractional coordinates):
Ce (0.8903, 0.8903, 0.3290)
Ge (0.3991, 0.3991, 0.8026)
Ce (0.6875, 0.6875, 0.9374)
Ce (0.3125, 0.3125, 0.0626)
Hg (0.5000, 0.5000, 0.5000)
Ge (0.6009, 0.6009, 0.1974)
Ce (0.1097, 0.1097, 0.6710)

***

> Among the records above, which one has the lowest formation energy?

Ce4HgGe2

***

> Number 2 is which compound?

Eu2InHg